An optimized crystal structure of Ag2Au, computed with PBEsol.

```
data_Ag2Au
_space_group_name_H-M_alt 'P 1'
_space_group_IT_number 1
_space_group_name_Hall 'P 1'
_cell_length_a 4.049
_cell_length_b 4.049
_cell_length_c 12.519
_cell_angle_alpha 99.31
_cell_angle_beta 99.31
_cell_angle_gamma 90.03
loop_
_atom_site_label
_atom_site_type_symbol
_atom_site_fract_x
_atom_site_fract_y
_atom_site_fract_z
_atom_site_occupancy
Ag1 Ag 0.750 0.750 0.500 1
Ag2 Ag 0.250 0.250 0.500 1
Ag3 Ag 0.000 0.500 0.000 1
Ag4 Ag 0.500 0.000 0.000 1
Ag5 Ag 0.583 0.583 0.167 1
Ag6 Ag 0.417 0.417 0.833 1
Ag7 Ag 0.833 0.333 0.667 1
Ag8 Ag 0.667 0.167 0.333 1
Au1 Au 0.917 0.917 0.834 1
Au2 Au 0.083 0.083 0.166 1
Au3 Au 0.167 0.667 0.334 1
Au4 Au 0.333 0.833 0.666 1
```

Properties
Final energy   -42.774 eV per cell
Volume   199.8 Å³ per cell
Space-group type   I4_1/amd
Formation enthalpy at 0 K   -49 meV per atom
E above lowest polymorph   0.001 eV/f.u.